# 1
# In2FeIr (GGA-PBE, optimized geometry)
data_In2FeIr
_chemical_formula_sum 'In2 Fe1 Ir1'
_cell_length_a 3.018
_cell_length_b 3.018
_cell_length_c 8.123
_cell_angle_alpha 90.00
_cell_angle_beta 90.00
_cell_angle_gamma 90.00
_space_group_name_H-M_alt 'P 1'
_space_group_IT_number 1
_space_group_name_Hall 'P 1'
loop_
_atom_site_label
_atom_site_type_symbol
_atom_site_fract_x
_atom_site_fract_y
_atom_site_fract_z
In1 In 0.000 0.000 0.000
In2 In 0.500 0.500 0.351
Fe1 Fe 0.500 0.500 0.767
Ir1 Ir 0.000 0.000 0.589
# - ΔH_f (0 K) (meV/atom) = 136

***

# 2
# Sc2SbSe (GGA-PBE, optimized geometry)
data_Sc2SbSe
_chemical_formula_sum 'Sc2 Sb1 Se1'
_cell_length_a 4.992
_cell_length_b 4.992
_cell_length_c 4.992
_cell_angle_alpha 60.00
_cell_angle_beta 60.00
_cell_angle_gamma 60.00
_space_group_name_H-M_alt 'P 1'
_space_group_IT_number 1
_space_group_name_Hall 'P 1'
loop_
_atom_site_label
_atom_site_type_symbol
_atom_site_fract_x
_atom_site_fract_y
_atom_site_fract_z
Sc1 Sc 0.250 0.250 0.250
Sc2 Sc 0.750 0.750 0.750
Sb1 Sb 0.000 0.000 0.000
Se1 Se 0.500 0.500 0.500
# - ΔE_f (raw) (eV per formula unit) = -3.63
# - energy above the lowest structure with this stoichiometry (meV/atom) = 357

***

# 3
# HfSeBr2 (GGA-PBE, optimized geometry)
data_HfSeBr2
_chemical_formula_sum 'Hf1 Se1 Br2'
_cell_length_a 11.461
_cell_length_b 11.461
_cell_length_c 11.461
_cell_angle_alpha 16.68
_cell_angle_beta 16.68
_cell_angle_gamma 16.68
_space_group_name_H-M_alt 'P 1'
_space_group_IT_number 1
_space_group_name_Hall 'P 1'
loop_
_atom_site_label
_atom_site_type_symbol
_atom_site_fract_x
_atom_site_fract_y
_atom_site_fract_z
Hf1 Hf 0.000 0.000 0.000
Se1 Se 0.500 0.500 0.500
Br1 Br 0.390 0.390 0.390
Br2 Br 0.610 0.610 0.610
# - ΔE_f (raw) (eV per formula unit) = -1.86
# - energy above the lowest structure with this stoichiometry (meV/atom) = 473